Record 1
# Nd2Cu3Hg

An optimized crystal structure of Nd2Cu3Hg (PBE, Alexandria).

Geometry as POSCAR:
```
Nd2Cu3Hg
1.0
5.846 -0.451 0.000
-0.678 5.824 0.000
-2.584 -2.687 7.714
Cu Hg Nd
6 2 4
direct
0.679 0.160 0.839
0.160 0.679 0.839
0.840 0.321 0.161
0.321 0.840 0.161
0.160 0.160 0.321
0.840 0.840 0.679
0.666 0.666 0.332
0.334 0.334 0.668
0.250 0.750 0.500
0.750 0.250 0.500
0.242 0.242 0.000
0.758 0.758 0.000
```

Summary:
Density: 8.67 g/cm3
Size of the total moment: 0.0 μB/cell
Energy of formation from the pure elements: -0.236 eV per atom



Record 2
# TiIrIO2

An optimized crystal structure of TiIrIO2 (PBE, Alexandria).

Geometry as POSCAR:
```
TiIrIO2
1.0
3.801 0.000 0.000
0.000 3.801 0.000
0.000 0.000 7.233
O Ir I Ti
2 1 1 1
direct
0.000 0.500 0.000
0.500 0.000 0.000
0.000 0.000 0.000
0.000 0.000 0.500
0.500 0.500 0.500
```

Summary:
Density: 6.34 g/cm3
Size of the total moment: 0.0 μB/cell
Energy relative to the elements, uncorrected: 0.038 eV per atom



Record 3
# LaCoRe2

An optimized crystal structure of LaCoRe2 (PBE, Alexandria).

Geometry as POSCAR:
```
LaCoRe2
1.0
4.576 0.000 0.000
0.000 4.270 0.014
0.000 1.583 3.970
Co Re La
1 2 1
direct
0.500 0.250 0.250
0.000 0.422 0.422
0.000 0.078 0.078
0.500 0.750 0.750
```

Summary:
Density: 12.22 g/cm3
Size of the total moment: 0.0 μB/cell
Energy of formation from the pure elements: 0.387 eV per atom



size of the total moment of number 3 (LaCoRe2)?
0.0 μB/cell